Here is a relaxed structure of VInO4 from Alexandria. Energies are from PBE with a Hubbard U.

## Properties
Electronic total energy ... -0.4930 Ry/atom
M_tot ... 0.000 μB per cell

a b c (Å): 4.7872 5.7270 5.0342
angles (deg): 90.00 92.30 90.00
Last column: nearest neighbours and their distance in Å.
Space group P2/c (No. 13)
Unique sites:
1 V 0.0000 0.1734 0.2500  4 O 1.78-1.90
2 In 0.5000 0.3058 0.7500  6 O 2.12-2.31
3 O 0.2093 0.0972 0.9500  2 V 1.90-2.08, 1 In 2.12
4 O 0.2504 0.3739 0.3881  1 V 1.78